Density functional theory data (GGA+U) for crystalline MgAlV2O8 at its relaxed geometry.

Lattice parameters (Å, degrees): 6.498 6.498 6.415 90.00 90.00 90.00
Space group I-4m2 (No. 119)
Unique sites:
Mg  0.000  0.000  0.000
Al  0.000  0.500  0.750
V  0.000  0.000  0.500
V  0.000  0.500  0.250
O  0.000  0.220  0.660
O  0.000  0.294  0.081

Calculated values
calculated volume = 11.3 A^3/atom
total DFT energy (no corrections) = -6.919 eV/atom